No. 1
Computed, not measured: a relaxed CoCu3Ag crystal at the PBE-GGA level of DFT.

Its total energy is -3.53 eV/atom. The total magnetic moment comes out at 0.365 μB/atom. Its symmetry is Pm-3m (221). The theoretical density comes out at 6.96 g/cm³. The calculation puts the density of states at the Fermi level at 8.8 states/eV per cell. The calculation puts the energy above the lowest structure with this stoichiometry at 0.0 meV/atom.

```
CoCu3Ag
1.0
-1.9204 3.7988 -1.1239
-1.9465 0.1830 3.9445
3.4504 2.2175 1.5997
Co Cu Ag
1 3 1
Cartesian
0.0000 0.0000 0.0000
-0.9732 0.0915 1.9723
1.7252 1.1088 0.7999
-0.9602 1.8994 -0.5620
-0.2083 3.0997 2.2102
```

=====

No. 2
Computed, not measured: a relaxed CoCu2Ag crystal at the PBE-GGA level of DFT.

Its total energy is -4.23 eV/atom. The total magnetic moment comes out at 0.379 μB/atom. Its symmetry is I4/mmm (139). The theoretical density comes out at 9.18 g/cm³. The calculation puts the density of states at the Fermi level at 5.7 states/eV per cell. The calculation puts the energy above the lowest structure with this stoichiometry at 112.0 meV/atom.

```
CoCu2Ag
1.0
4.5229 -0.0142 0.0000
1.2892 4.3353 0.0000
-2.9061 -2.1606 2.7100
Cu Co Ag
2 1 1
Cartesian
0.0000 0.0000 0.0000
2.9061 2.1606 0.0000
2.2615 -0.0071 1.3550
0.6446 2.1677 1.3550
```

=====

No. 3
Computed, not measured: a relaxed Co2CuAg crystal at the PBE-GGA level of DFT.

Its total energy is -4.98 eV/atom. The total magnetic moment comes out at 0.797 μB/atom. Its symmetry is Cm (8). The theoretical density comes out at 9.19 g/cm³. The calculation puts the density of states at the Fermi level at 3.6 states/eV per cell. The calculation puts the energy above the lowest structure with this stoichiometry at 114.9 meV/atom.

```
Co2CuAg
1.0
4.4594 0.0049 -0.0184
3.6892 2.5053 -0.0184
0.7666 0.2362 4.6842
Cu Co Ag
1 2 1
Cartesian
4.4207 1.3618 2.3814
6.6807 2.0580 3.5762
0.7989 0.2461 4.4926
2.2391 0.6898 1.2054
```